1.
The following is a DFT calculation (PBE) of crystalline K2Na2Bi at its relaxed geometry.

It has space group P4/mbm (No. 127), with a = 8.810 Å, b = 8.810 Å, c = 5.887 Å, α = 90.00°, β = 90.00° and γ = 90.00°. Symmetry generates all atoms from K at (0.140, 0.360, 0.000), Na at (0.190, 0.690, 0.500) and Bi at (0.000, 0.000, 0.000).

The value obtained for the formation energy from the elements is 22.9 meV/atom. For the energy relative to the lowest polymorph listed for this composition, the calculation gives 1.30 eV per formula unit. The value obtained for the electronic total energy is -17.2 eV for the cell shown.

---

2.
The following is a DFT calculation (PBE) of crystalline KNa3Bi at its relaxed geometry.

It has space group Pm-3m (No. 221), with a = 6.148 Å, b = 6.148 Å, c = 6.148 Å, α = 90.00°, β = 90.00° and γ = 90.00°. Symmetry generates all atoms from K at (0.000, 0.000, 0.000), Na at (0.000, 0.500, 0.500) and Bi at (0.500, 0.500, 0.500).

The value obtained for the formation energy from the elements is -178.6 meV/atom. For the energy relative to the lowest polymorph listed for this composition, the calculation gives 0.37 eV per formula unit. The value obtained for the electronic total energy is -9.8 eV for the cell shown.

---

3.
The following is a DFT calculation (PBE) of crystalline K3Na5Bi2 at its relaxed geometry.

It has space group Ibam (No. 72), with a = 14.423 Å, b = 16.752 Å, c = 6.607 Å, α = 90.00°, β = 90.00° and γ = 90.00°. Symmetry generates all atoms from K at (0.000, 0.000, 0.250), K at (0.080, 0.246, 0.000), Na at (0.000, 0.500, 0.250), Na at (0.202, 0.325, 0.500), Na at (0.245, 0.500, 0.250) and Bi at (0.167, 0.143, 0.500).

The value obtained for the formation energy from the elements is -202.5 meV/atom. The value obtained for the electronic total energy is -78.7 eV for the cell shown.

---

4.
The following is a DFT calculation (PBE) of crystalline KNaBi2 at its relaxed geometry.

It has space group P4/mmm (No. 123), with a = 4.908 Å, b = 4.908 Å, c = 5.340 Å, α = 90.00°, β = 90.00° and γ = 90.00°. Symmetry generates all atoms from K at (0.000, 0.000, 0.000), Na at (0.500, 0.500, 0.000) and Bi at (0.000, 0.500, 0.500).

The value obtained for the formation energy from the elements is -276.0 meV/atom. For the energy relative to the lowest polymorph listed for this composition, the calculation gives 0.08 eV per formula unit. The value obtained for the electronic total energy is -11.3 eV for the cell shown.

---

5.
The following is a DFT calculation (PBE) of crystalline KNa2Bi2 at its relaxed geometry.

It has space group P4/mbm (No. 127), with a = 9.760 Å, b = 9.760 Å, c = 3.394 Å, α = 90.00°, β = 90.00° and γ = 90.00°. Symmetry generates all atoms from K at (0.000, 0.000, 0.000), Na at (0.121, 0.379, 0.000) and Bi at (0.173, 0.673, 0.500).

The value obtained for the formation energy from the elements is -321.8 meV/atom. For the energy relative to the lowest polymorph listed for this composition, the calculation gives 0.00 eV per formula unit. The value obtained for the electronic total energy is -26.2 eV for the cell shown.

---

6.
The following is a DFT calculation (PBE) of crystalline KNa6Bi4 at its relaxed geometry.

It has space group I-42m (No. 121), with a = 8.507 Å, b = 8.507 Å, c = 11.950 Å, α = 90.00°, β = 90.00° and γ = 90.00°. Symmetry generates all atoms from K at (0.000, 0.000, 0.000), Na at (0.000, 0.500, 0.000), Na at (0.176, 0.176, 0.290) and Bi at (0.179, 0.179, 0.552).

The value obtained for the formation energy from the elements is -169.8 meV/atom. The value obtained for the electronic total energy is -52.8 eV for the cell shown.

---

7.
The following is a DFT calculation (PBE) of crystalline K2NaBi2 at its relaxed geometry.

It has space group P4/mbm (No. 127), with a = 8.498 Å, b = 8.498 Å, c = 5.558 Å, α = 90.00°, β = 90.00° and γ = 90.00°. Symmetry generates all atoms from K at (0.168, 0.332, 0.000), Na at (0.000, 0.000, 0.500) and Bi at (0.126, 0.626, 0.500).

The value obtained for the formation energy from the elements is -315.3 meV/atom. For the energy relative to the lowest polymorph listed for this composition, the calculation gives 0.00 eV per formula unit. The value obtained for the electronic total energy is -25.7 eV for the cell shown.

---

8.
The following is a DFT calculation (PBE) of crystalline KNa3Bi at its relaxed geometry.

It has space group Pm-3m (No. 221), with a = 5.819 Å, b = 5.819 Å, c = 5.819 Å, α = 90.00°, β = 90.00° and γ = 90.00°. Symmetry generates all atoms from K at (0.000, 0.000, 0.000), Na at (0.000, 0.000, 0.500) and Bi at (0.500, 0.500, 0.500).

The value obtained for the formation energy from the elements is 431.9 meV/atom. For the energy relative to the lowest polymorph listed for this composition, the calculation gives 3.42 eV per formula unit. The value obtained for the electronic total energy is -6.8 eV for the cell shown.